VASP calculation (GGA+U) on CrGePdO after structural relaxation.

Cell: 3.7343 3.0373 5.9589 Å, 90.00 90.00 90.00°
Last column: nearest neighbours and their distance in Å.
Fractional coordinates of all 4 atoms:
1 Cr 0.5000 0.5000 0.5191  2 O 1.88
2 O 0.5000 0.0000 0.3334  2 Cr 1.88
3 Pd 0.5000 0.0000 0.9622  1 O 2.21
4 Ge 0.0000 0.5000 0.8163  4 Pd 2.56, 2 Cr 2.57

Calculated values
* E above lowest polymorph: 255 meV/atom
* final energy: -24.218 eV for the cell shown